Version 1
Density functional theory data (PBE-GGA) for a geometry-optimized ZrCdBi structure.

```
ZrCdBi
1.0
-1.410 5.730 0.780
-3.367 -4.479 4.111
6.064 0.710 5.740
Zr Cd Bi
4 4 4
Direct
0.606 0.212 0.604
0.894 0.788 0.104
0.394 0.788 0.396
0.106 0.212 0.896
0.338 0.175 0.250
0.162 0.825 0.750
0.662 0.825 0.750
0.838 0.175 0.250
0.823 0.646 0.436
0.677 0.354 0.936
0.177 0.354 0.564
0.323 0.646 0.064
```

=====

Version 2
Density functional theory data (PBE-GGA) for a geometry-optimized ZrCdBi structure.

```
ZrCdBi
1.0
-2.664 1.659 0.223
-1.166 -2.474 4.478
2.779 4.449 0.108
Bi Zr Cd
1 1 1
Direct
0.510 0.667 0.333
0.001 0.000 0.000
0.490 0.333 0.667
```

=====

Version 3
Density functional theory data (PBE-GGA) for a geometry-optimized ZrCdBi structure.

```
ZrCdBi
1.0
-3.594 -0.506 -2.016
0.000 -4.027 1.011
-4.432 1.866 7.432
Zr Cd Bi
2 2 2
Direct
0.000 0.500 0.717
0.500 0.000 0.283
0.000 0.000 0.000
0.500 0.500 0.000
0.000 0.500 0.357
0.500 0.000 0.643
```

=====

Each structure's energy above the most stable one, in eV/atom: version 1 0.022; version 2 0.203; version 3 0.000.

=====

Version 1
Density functional theory data (PBE-GGA) for a geometry-optimized ZrCdBi3 structure.

```
ZrCdBi3
1.0
5.555 0.000 0.000
0.000 5.555 0.000
0.000 0.000 5.555
Bi Zr Cd
3 1 1
Direct
0.000 0.500 0.000
0.000 0.000 0.500
0.500 0.000 0.000
0.500 0.500 0.500
0.000 0.000 0.000
```

=====

Version 2
Density functional theory data (PBE-GGA) for a geometry-optimized ZrCdBi3 structure.

```
ZrCdBi3
1.0
-3.583 1.756 4.054
1.701 -4.268 3.353
4.077 3.324 2.163
Bi Zr Cd
3 1 1
Direct
0.000 0.500 0.000
0.000 0.000 0.500
0.500 0.000 0.000
0.000 0.000 0.000
0.500 0.500 0.500
```

=====

Each structure's energy above the most stable one, in eV/atom: version 1 0.612; version 2 0.000.